SrHf2AlS PBE optimized geometry; uncorrected formation energy = -14 kJ/mol of formula units; total magnetic moment = 0.0 μB per cell; space group = P4/mmm (123); E_tot = -0.435 Ry per atom
1.0
4.8609 0.0000 0.0000
0.0000 5.2562 0.0000
0.0000 0.0000 4.8609
Sr S Hf Al
1 1 2 1
Direct
0.5000 0.5000 0.5000 Sr
0.0000 0.0000 0.0000 S
0.0000 0.0000 0.5000 Hf
0.5000 0.0000 0.0000 Hf
0.0000 0.5000 0.0000 Al

---

Na6SrTl8 PBE optimized geometry; total magnetic moment = 0.0 μB per cell; space group = R-3 (148); formation energy from the elements = -102 meV/atom; E_tot = -0.147 Ry per atom
1.0
9.4454 0.0000 0.0000
4.7227 8.1800 0.0000
4.7227 2.7267 6.1221
Na Sr Tl
6 1 8
Direct
0.4025 0.1546 0.8246 Na
0.8454 0.3818 0.1754 Na
0.3818 0.5975 0.1754 Na
0.6182 0.4025 0.8246 Na
0.1546 0.6182 0.8246 Na
0.5975 0.8454 0.1754 Na
0.0000 0.0000 0.0000 Sr
0.5870 0.1623 0.3425 Tl
0.8377 0.0918 0.6575 Tl
0.0918 0.4130 0.6575 Tl
0.7697 0.7697 0.6909 Tl
0.2303 0.2303 0.3091 Tl
0.9082 0.5870 0.3425 Tl
0.1623 0.9082 0.3425 Tl
0.4130 0.8377 0.6575 Tl

---

Ho3ZnAg PBE optimized geometry; total magnetic moment = 0.0 μB per cell; space group = Cmcm (63); energy relative to the lowest polymorph listed for this composition = 0 meV/atom; formation energy from the elements = -245 meV/atom; E_tot = -0.281 Ry per atom
1.0
4.9493 0.0000 1.1310
0.0000 5.0797 0.0000
0.3283 0.0000 9.9577
Ho Zn Ag
6 2 2
Direct
0.7603 0.2500 0.1278 Ho
0.3906 0.2500 0.8672 Ho
0.5751 0.2500 0.4982 Ho
0.2578 0.7500 0.1328 Ho
0.8881 0.7500 0.8722 Ho
0.0733 0.7500 0.5018 Ho
0.6689 0.7500 0.3106 Zn
0.9795 0.2500 0.6894 Zn
0.4836 0.7500 0.6810 Ag
0.1647 0.2500 0.3190 Ag

---

NaTl3Cd2Hg3 PBE optimized geometry; total magnetic moment = 0.0 μB per cell; space group = P-62m (189); formation energy from the elements = -10 meV/atom; E_tot = -0.092 Ry per atom
1.0
3.4394 0.0000 0.0000
0.0000 9.0722 0.0000
0.0000 -4.5361 7.8568
Na Tl Cd Hg
1 3 2 3
Direct
0.0000 0.0000 0.0000 Na
0.5000 0.6900 0.0000 Tl
0.5000 0.0000 0.6900 Tl
0.5000 0.3100 0.3100 Tl
0.5000 0.6667 0.3333 Cd
0.5000 0.3333 0.6667 Cd
0.0000 0.6323 0.6323 Hg
0.0000 0.0000 0.3677 Hg
0.0000 0.3677 0.0000 Hg

---

ReTcW2N PBE optimized geometry; uncorrected formation energy = 22 kJ/mol of formula units; total magnetic moment = 0.0 μB per cell; space group = P4/mmm (123); energy relative to the lowest polymorph listed for this composition = 0 meV/atom; E_tot = -0.835 Ry per atom
1.0
-2.7236 3.0628 -0.3130
-0.4354 0.0305 4.0874
2.9995 2.6979 0.2994
Re Tc W N
1 1 2 1
Direct
0.5000 0.5000 0.5000 Re
0.0000 0.0000 0.5000 Tc
0.0000 0.5000 0.0000 W
0.5000 0.0000 0.0000 W
0.0000 0.0000 0.0000 N

---

GaNiIrC PBE optimized geometry; total magnetic moment = 0.0 μB per cell; space group = P1 (1); energy relative to the lowest polymorph listed for this composition = 227 meV/atom; formation energy from the elements = 351 meV/atom; E_tot = -0.468 Ry per atom
1.0
3.2526 0.0101 -0.0077
-0.0054 4.2536 -0.0139
-1.6233 -1.9543 3.9167
Ni C Ir Ga
1 1 1 1
Direct
0.1832 0.9635 0.2417 Ni
0.9952 0.5269 0.8644 C
0.5551 0.3579 0.9823 Ir
0.8677 0.8327 0.6078 Ga